PuTh2Sc7 | PBE | optimized geometry

DFT formation energy: 0.060 eV per atom
D(E_F): 19.54 states/eV/cell
magnetization: 0.627 μB per atom

Geometry as POSCAR:
```
PuTh2Sc7
1.0
-2.7631 -1.1941 -1.5204
0.3755 -6.9104 8.4630
-7.7577 6.0772 -1.8759
Pu Th Sc
1 2 7
Cartesian
0.0000 0.0000 0.0000
-3.3268 -5.0639 6.2707
-6.8185 3.0367 -1.2040
-4.0855 -4.1051 3.1561
-6.0598 2.0779 1.9106
-5.8010 -0.1414 -0.5582
-4.3443 -1.8858 5.6249
-2.1005 -2.0050 1.6414
-8.0448 -0.0222 3.4253
-5.0727 -1.0136 2.5333
```